Record 1
PBE Rb2Li3ZrF12, relaxed; DOS at the Fermi energy = 10.6 states/eV/f.u.; E_form (uncorrected) = -46.041 eV/f.u.
1.0
-2.968 -3.966 -5.614
-5.663 -4.788 1.031
-6.886 1.310 -2.631
F Li Zr Rb
12 3 1 2
Direct
0.338 0.338 0.873 F
0.127 0.662 0.662 F
0.338 0.873 0.338 F
0.077 0.667 0.077 F
0.923 0.333 0.923 F
0.662 0.662 0.127 F
0.923 0.923 0.333 F
0.077 0.077 0.667 F
0.873 0.338 0.338 F
0.662 0.127 0.662 F
0.667 0.077 0.077 F
0.333 0.923 0.923 F
0.000 0.500 0.000 Li
0.000 0.000 0.500 Li
0.500 0.000 0.000 Li
0.000 0.000 0.000 Zr
0.387 0.387 0.387 Rb
0.613 0.613 0.613 Rb

Record 2
PBE BeSiBr, relaxed; DOS at the Fermi energy = 2.4 states/eV/f.u.; excess energy over the best structure of this formula in the dataset = 688.2 meV per atom; E_form (uncorrected) = 3.002 eV/f.u.
1.0
4.344 0.000 0.000
2.172 3.762 0.000
2.172 1.254 3.546
Be Si Br
1 1 1
Direct
0.750 0.750 0.750 Be
0.500 0.500 0.500 Si
0.000 0.000 0.000 Br

Record 3
PBE La5Pm6Sm, relaxed; DOS at the Fermi energy = 19.5 states/eV/f.u.; energy of formation = 0.013 eV per atom
1.0
6.217 0.000 1.518
3.108 5.548 0.759
-0.754 0.000 12.146
Pm La Sm
6 5 1
Direct
0.250 0.000 0.249 Pm
0.585 0.332 0.249 Pm
0.415 0.668 0.751 Pm
0.917 0.668 0.249 Pm
0.083 0.332 0.751 Pm
0.750 0.000 0.751 Pm
0.834 0.333 0.500 La
0.500 0.000 0.500 La
0.667 0.666 0.000 La
0.333 0.334 0.000 La
0.166 0.667 0.500 La
0.000 0.000 0.000 Sm

Record 4
PBE Nd4AlAg2, relaxed; DOS at the Fermi energy = 8.9 states/eV/f.u.; energy of formation = -0.147 eV per atom; excess energy over the best structure of this formula in the dataset = 0.0 meV per atom
1.0
-2.733 -0.107 -4.493
-3.777 -3.595 -0.696
-7.825 4.066 1.583
Al Nd Ag
1 4 2
Direct
0.000 0.000 0.000 Al
0.872 0.872 0.384 Nd
0.618 0.618 0.145 Nd
0.382 0.382 0.855 Nd
0.128 0.128 0.616 Nd
0.743 0.743 0.771 Ag
0.257 0.257 0.229 Ag

Record 5
PBE MnCr2Ir, relaxed; DOS at the Fermi energy = 4.7 states/eV/f.u.; energy of formation = 0.029 eV per atom
1.0
4.823 0.033 -0.076
2.135 4.325 0.076
-3.035 -2.888 2.391
Cr Ir Mn
2 1 1
Direct
0.489 0.489 0.000 Cr
0.011 0.011 0.000 Cr
0.750 0.250 0.500 Ir
0.250 0.750 0.500 Mn

Record 6
PBE LaHgBr2, relaxed; DOS at the Fermi energy = 4.7 states/eV/f.u.; excess energy over the best structure of this formula in the dataset = 435.2 meV per atom; E_form (uncorrected) = -3.538 eV/f.u.
1.0
-1.075 -5.347 -0.241
1.408 -3.257 4.149
-3.855 -2.156 3.208
Hg Br La
1 2 1
Direct
0.500 0.500 0.500 Hg
0.250 0.250 0.250 Br
0.000 0.000 0.000 Br
0.750 0.750 0.750 La